No. 1
Ba2HgBi4Pt3: optimized geometry, PBE.

```
data_Ba2HgBi4Pt3
_chemical_formula_sum 'Ba2 Hg1 Bi4 Pt3'
_cell_length_a 5.065
_cell_length_b 5.065
_cell_length_c 11.095
_cell_angle_alpha 90.00
_cell_angle_beta 90.00
_cell_angle_gamma 90.00
_space_group_name_H-M_alt 'P -4 m 2'
_space_group_IT_number 115
_space_group_name_Hall 'P -4 -2'
loop_
_atom_site_label
_atom_site_type_symbol
_atom_site_fract_x
_atom_site_fract_y
_atom_site_fract_z
Ba1 Ba 0.000 0.500 0.244
Hg1 Hg 0.500 0.500 0.000
Bi1 Bi 0.000 0.000 0.500
Bi2 Bi 0.000 0.500 0.864
Bi3 Bi 0.500 0.500 0.500
Pt1 Pt 0.000 0.000 0.000
Pt2 Pt 0.000 0.500 0.616
```

Values from the calculation:
E_form	-5.57	eV per formula unit

---

No. 2
LiTlNiAs2: optimized geometry, PBE.

```
data_LiTlNiAs2
_chemical_formula_sum 'Li1 Tl1 Ni1 As2'
_cell_length_a 5.359
_cell_length_b 5.359
_cell_length_c 4.870
_cell_angle_alpha 90.00
_cell_angle_beta 90.00
_cell_angle_gamma 90.00
_space_group_name_H-M_alt 'P 4/m m m'
_space_group_IT_number 123
_space_group_name_Hall '-P 4 2'
loop_
_atom_site_label
_atom_site_type_symbol
_atom_site_fract_x
_atom_site_fract_y
_atom_site_fract_z
Li1 Li 0.000 0.000 0.000
Tl1 Tl 0.500 0.500 0.500
Ni1 Ni 0.500 0.500 0.000
As1 As 0.000 0.500 0.500
```

Values from the calculation:
E_form	4.48	eV per formula unit

---

No. 3
BeIr2Ru: optimized geometry, PBE.

```
data_BeIr2Ru
_chemical_formula_sum 'Be1 Ir2 Ru1'
_cell_length_a 2.727
_cell_length_b 3.679
_cell_length_c 5.296
_cell_angle_alpha 90.00
_cell_angle_beta 90.00
_cell_angle_gamma 90.00
_space_group_name_H-M_alt 'P m m 2'
_space_group_IT_number 25
_space_group_name_Hall 'P 2 -2'
loop_
_atom_site_label
_atom_site_type_symbol
_atom_site_fract_x
_atom_site_fract_y
_atom_site_fract_z
Be1 Be 0.000 0.000 0.000
Ir1 Ir 0.000 0.000 0.502
Ir2 Ir 0.500 0.500 0.208
Ru1 Ru 0.500 0.500 0.736
```

Values from the calculation:
E_form	-0.14	eV per formula unit

---

no.,total magnetization (μB/f.u.)
1,0.0
2,0.9
3,0.0